# 1
Material: HfGaSi2
Method: DFT, GGA-PBE
State: relaxed

Lattice parameters (Å, degrees): 4.6154 4.6154 4.6154 60.00 60.00 60.00
Element x y z (fractional)
Hf (0.0000, 0.0000, 0.0000)
Ga (0.7500, 0.7500, 0.7500)
Si (0.2500, 0.2500, 0.2500)
Si (0.5000, 0.5000, 0.5000)

Results
- Symmetry: F-43m (216)
- E: -0.4182 Ry/atom

=====

# 2
Material: Nd2Sm2Te3O4
Method: DFT, GGA-PBE
State: relaxed

Lattice parameters (Å, degrees): 8.8521 6.9431 6.9431 34.03 90.00 90.00
Element x y z (fractional)
Nd (0.0000, 0.0000, 0.0000)
Nd (0.5000, 0.0187, 0.0187)
Sm (0.2385, 0.6665, 0.6665)
Sm (0.7615, 0.6665, 0.6665)
Te (0.0000, 0.2990, 0.2990)
Te (0.3388, 0.3517, 0.3517)
Te (0.6612, 0.3517, 0.3517)
O (0.0000, 0.5811, 0.5811)
O (0.2441, 0.0816, 0.0816)
O (0.5000, 0.6107, 0.6107)
O (0.7559, 0.0816, 0.0816)

Results
- Symmetry: Amm2 (38)
- E: -0.5111 Ry/atom

=====

# 3
Material: NaZr3
Method: DFT, GGA-PBE
State: relaxed

Lattice parameters (Å, degrees): 6.4969 6.4969 5.1187 90.00 90.00 119.06
Element x y z (fractional)
Na (0.0752, 0.9248, 0.7500)
Na (0.9248, 0.0752, 0.2500)
Zr (0.0927, 0.4394, 0.7500)
Zr (0.4176, 0.5824, 0.2500)
Zr (0.4394, 0.0927, 0.2500)
Zr (0.5606, 0.9073, 0.7500)
Zr (0.5824, 0.4176, 0.7500)
Zr (0.9073, 0.5606, 0.2500)

Results
- Excess energy over the best structure of this formula in the dataset: 0.0 meV/atom
- Symmetry: Cmcm (63)

=====

# 4
Material: TbMgSn2
Method: DFT, GGA-PBE
State: relaxed

Lattice parameters (Å, degrees): 4.7623 4.7623 4.3678 90.00 90.00 90.00
Element x y z (fractional)
Tb (0.0000, 0.0000, 0.0000)
Mg (0.5000, 0.5000, 0.0000)
Sn (0.0000, 0.5000, 0.5000)
Sn (0.5000, 0.0000, 0.5000)

Results
- Symmetry: P4/mmm (123)
- E: -0.2971 Ry/atom

=====

# 5
Material: DyYCu2Si2
Method: DFT, GGA-PBE
State: relaxed

Lattice parameters (Å, degrees): 4.1311 4.1311 7.5279 90.00 90.00 120.00
Element x y z (fractional)
Dy (0.0000, 0.0000, 0.0000)
Y (0.0000, 0.0000, 0.5000)
Cu (0.3333, 0.6667, 0.7508)
Cu (0.6667, 0.3333, 0.2492)
Si (0.3333, 0.6667, 0.2494)
Si (0.6667, 0.3333, 0.7506)

Results
- Symmetry: P-3m1 (164)
- E: -0.4091 Ry/atom

=====

# 6
Material: ZnGa2FePd4
Method: DFT, GGA-PBE
State: relaxed

Lattice parameters (Å, degrees): 4.3358 4.3358 6.1183 90.00 90.00 90.00
Element x y z (fractional)
Zn (0.0000, 0.0000, 0.0000)
Ga (0.0000, 0.0000, 0.5000)
Ga (0.5000, 0.5000, 0.0000)
Fe (0.5000, 0.5000, 0.5000)
Pd (0.0000, 0.5000, 0.2526)
Pd (0.0000, 0.5000, 0.7474)
Pd (0.5000, 0.0000, 0.2526)
Pd (0.5000, 0.0000, 0.7474)

Results
- Symmetry: P4/mmm (123)
- E: -0.3671 Ry/atom

=====

# 7
Material: Sc2NbHg
Method: DFT, GGA-PBE
State: relaxed

Lattice parameters (Å, degrees): 4.8697 4.8697 4.8697 60.00 60.00 60.00
Element x y z (fractional)
Sc (0.0000, 0.0000, 0.0000)
Sc (0.2500, 0.2500, 0.2500)
Nb (0.5000, 0.5000, 0.5000)
Hg (0.7500, 0.7500, 0.7500)

Results
- Symmetry: F-43m (216)
- DFT formation energy: 0.168 eV per atom

=====

# 8
Material: TlCoCuW
Method: DFT, GGA-PBE
State: relaxed

Lattice parameters (Å, degrees): 4.4196 4.4196 4.4196 60.00 60.00 60.00
Element x y z (fractional)
Tl (0.0000, 0.0000, 0.0000)
Co (0.5000, 0.5000, 0.5000)
Cu (0.2500, 0.2500, 0.2500)
W (0.7500, 0.7500, 0.7500)

Results
- Excess energy over the best structure of this formula in the dataset: 166.9 meV/atom
- Symmetry: F-43m (216)

=====

# 9
Material: Li4ReGeO6
Method: DFT, GGA-PBE
State: relaxed

Lattice parameters (Å, degrees): 5.0995 5.0995 5.0415 99.82 99.82 119.95
Element x y z (fractional)
Li (0.0000, 0.0000, 0.0000)
Li (0.3448, 0.6552, 0.0000)
Li (0.6812, 0.3188, 0.0000)
Li (0.8417, 0.1583, 0.5000)
Re (0.1747, 0.8253, 0.5000)
Ge (0.5091, 0.4909, 0.5000)
O (0.1229, 0.4240, 0.2671)
O (0.2777, 0.2515, 0.7276)
O (0.4203, 0.0959, 0.2682)
O (0.5760, 0.8771, 0.7329)
O (0.7485, 0.7223, 0.2724)
O (0.9041, 0.5797, 0.7318)

Results
- Symmetry: C2 (5)
- E: -0.4637 Ry/atom

=====

# 10
Material: K2LiReF6
Method: DFT, GGA-PBE
State: relaxed

Lattice parameters (Å, degrees): 5.6088 5.6088 5.6088 119.58 119.58 90.73
Element x y z (fractional)
K (0.2500, 0.7500, 0.5000)
K (0.7500, 0.2500, 0.5000)
Li (0.0000, 0.0000, 0.0000)
Re (0.5000, 0.5000, 0.0000)
F (0.2434, 0.2434, 0.4869)
F (0.2434, 0.7566, 0.0000)
F (0.2463, 0.2463, 0.0000)
F (0.7537, 0.7537, 0.0000)
F (0.7566, 0.2434, 0.0000)
F (0.7566, 0.7566, 0.5131)

Results
- Symmetry: I4/mmm (139)
- E: -0.3743 Ry/atom

=====

# 11
Material: Lu4ZnBiC2
Method: DFT, GGA-PBE
State: relaxed

Lattice parameters (Å, degrees): 3.5465 3.5465 15.0284 90.00 90.00 120.00
Element x y z (fractional)
Lu (0.0000, 0.0000, 0.1557)
Lu (0.0000, 0.0000, 0.8443)
Lu (0.3333, 0.6667, 0.3272)
Lu (0.3333, 0.6667, 0.6728)
Zn (0.3333, 0.6667, 0.0000)
Bi (0.0000, 0.0000, 0.5000)
C (0.6667, 0.3333, 0.2458)
C (0.6667, 0.3333, 0.7542)

Results
- Symmetry: P-6m2 (187)
- E: -0.4184 Ry/atom

=====

# 12
Material: ErLuGeC
Method: DFT, GGA-PBE
State: relaxed

Lattice parameters (Å, degrees): 3.5214 3.5214 14.7208 90.00 90.00 120.00
Element x y z (fractional)
Er (0.3333, 0.6667, 0.0912)
Er (0.6667, 0.3333, 0.9088)
Lu (0.3333, 0.6667, 0.4116)
Lu (0.6667, 0.3333, 0.5884)
Ge (0.3333, 0.6667, 0.7476)
Ge (0.6667, 0.3333, 0.2524)
C (0.0000, 0.0000, 0.0000)
C (0.0000, 0.0000, 0.5000)

Results
- Symmetry: P-3m1 (164)
- E: -0.4606 Ry/atom

=====

# 13
Material: NaSrFeRe
Method: DFT, GGA-PBE
State: relaxed

Lattice parameters (Å, degrees): 4.8215 4.8215 4.8215 60.00 60.00 60.00
Element x y z (fractional)
Na (0.0000, 0.0000, 0.0000)
Sr (0.7500, 0.7500, 0.7500)
Fe (0.2500, 0.2500, 0.2500)
Re (0.5000, 0.5000, 0.5000)

Results
- Excess energy over the best structure of this formula in the dataset: 5.1 meV/atom
- Symmetry: F-43m (216)

=====

# 14
Material: ReTe2
Method: DFT, GGA-PBE
State: relaxed

Lattice parameters (Å, degrees): 5.6740 7.5977 6.7944 90.00 90.00 90.00
Element x y z (fractional)
Re (0.0000, 0.1261, 0.2500)
Re (0.0000, 0.8739, 0.7500)
Re (0.5000, 0.3739, 0.7500)
Re (0.5000, 0.6261, 0.2500)
Te (0.2230, 0.3887, 0.0683)
Te (0.2230, 0.6113, 0.5683)
Te (0.2770, 0.1113, 0.5683)
Te (0.2770, 0.8887, 0.0683)
Te (0.7230, 0.1113, 0.9317)
Te (0.7230, 0.8887, 0.4317)
Te (0.7770, 0.3887, 0.4317)
Te (0.7770, 0.6113, 0.9317)

Results
- Symmetry: Pbcn (60)
- E: -0.4450 Ry/atom

=====

# 15
Material: HfZr2Sb2
Method: DFT, GGA-PBE
State: relaxed

Lattice parameters (Å, degrees): 7.4634 7.4634 7.4634 147.54 147.54 46.56
Element x y z (fractional)
Hf (0.0000, 0.0000, 0.0000)
Zr (0.2500, 0.7500, 0.5000)
Zr (0.7500, 0.2500, 0.5000)
Sb (0.3975, 0.3975, 0.0000)
Sb (0.6025, 0.6025, 0.0000)

Results
- Symmetry: I4/mmm (139)
- E: -0.5261 Ry/atom

=====

# 16
Material: SmZnInSe3
Method: DFT, GGA-PBE
State: relaxed

Lattice parameters (Å, degrees): 8.9415 8.9415 9.3058 106.26 106.26 27.29
Element x y z (fractional)
Sm (0.1761, 0.1761, 0.1073)
Sm (0.8239, 0.8239, 0.8927)
Zn (0.4941, 0.4941, 0.7897)
Zn (0.5059, 0.5059, 0.2103)
In (0.1341, 0.1341, 0.5697)
In (0.8659, 0.8659, 0.4303)
Se (0.0000, 0.0000, 0.0000)
Se (0.3426, 0.3426, 0.6922)
Se (0.3458, 0.3458, 0.1245)
Se (0.5000, 0.5000, 0.5000)
Se (0.6542, 0.6542, 0.8755)
Se (0.6574, 0.6574, 0.3078)

Results
- Excess energy over the best structure of this formula in the dataset: 136.2 meV/atom
- Symmetry: C2/m (12)

=====

# 17
Material: AlHgW
Method: DFT, GGA-PBE
State: relaxed

Lattice parameters (Å, degrees): 4.5047 4.5047 4.5047 60.00 60.00 60.00
Element x y z (fractional)
Al (0.0000, 0.0000, 0.0000)
Hg (0.5000, 0.5000, 0.5000)
W (0.2500, 0.2500, 0.2500)

Results
- Excess energy over the best structure of this formula in the dataset: 79.7 meV/atom
- Symmetry: F-43m (216)

=====

# 18
Material: CsTaCuTeS2
Method: DFT, GGA-PBE
State: relaxed

Lattice parameters (Å, degrees): 8.7220 8.7220 10.1274 90.00 90.00 155.53
Element x y z (fractional)
Cs (0.2194, 0.7806, 0.7500)
Cs (0.7806, 0.2194, 0.2500)
Ta (0.0000, 0.0000, 0.0000)
Ta (0.0000, 0.0000, 0.5000)
Cu (0.4749, 0.5251, 0.2500)
Cu (0.5251, 0.4749, 0.7500)
Te (0.0826, 0.9174, 0.2500)
Te (0.9174, 0.0826, 0.7500)
S (0.4056, 0.5944, 0.0594)
S (0.4056, 0.5944, 0.4406)
S (0.5944, 0.4056, 0.5594)
S (0.5944, 0.4056, 0.9406)

Results
- Symmetry: Cmcm (63)
- E: -0.3928 Ry/atom

=====

# 19
Material: HoErZn2As2O2
Method: DFT, GGA-PBE
State: relaxed

Lattice parameters (Å, degrees): 3.9260 3.9260 8.8370 90.00 90.00 90.00
Element x y z (fractional)
Ho (0.0000, 0.0000, 0.0000)
Er (0.5000, 0.5000, 0.7573)
Zn (0.0000, 0.5000, 0.3783)
Zn (0.5000, 0.0000, 0.3783)
As (0.0000, 0.0000, 0.5635)
As (0.5000, 0.5000, 0.1926)
O (0.0000, 0.5000, 0.8775)
O (0.5000, 0.0000, 0.8775)

Results
- Symmetry: P4mm (99)
- E: -0.4184 Ry/atom

=====

# 20
Material: Pr2HoSi4Au4
Method: DFT, GGA-PBE
State: relaxed

Lattice parameters (Å, degrees): 12.9238 12.9238 12.9238 161.13 160.85 27.01
Element x y z (fractional)
Pr (0.1473, 0.1473, 0.0000)
Pr (0.8527, 0.8527, 0.0000)
Ho (0.5000, 0.0000, 0.5000)
Si (0.0465, 0.5465, 0.5000)
Si (0.3094, 0.3094, 0.0000)
Si (0.6906, 0.6906, 0.0000)
Si (0.9535, 0.4535, 0.5000)
Au (0.2500, 0.7500, 0.5000)
Au (0.4079, 0.4079, 0.0000)
Au (0.5921, 0.5921, 0.0000)
Au (0.7500, 0.2500, 0.5000)

Results
- Symmetry: Immm (71)
- E: -0.3805 Ry/atom